Entry 1:
Nd4BSeI2 PBE relaxed; E_form (uncorrected) = -8.361 eV per formula unit
1.0
7.369 0.000 0.000
0.000 4.148 0.000
-2.389 0.000 7.697
Nd B Se I
4 1 1 2
direct
0.202 0.000 0.184
0.238 0.500 0.811
0.762 0.500 0.189
0.798 0.000 0.816
0.000 0.500 0.000
0.500 0.000 0.000
0.000 0.000 0.500
0.500 0.500 0.500



Entry 2:
KCo3Br9 PBE relaxed; E_form (uncorrected) = -6.325 eV per formula unit
1.0
9.769 -5.082 0.000
9.769 5.082 0.000
-9.704 0.000 10.339
K Co Br
2 6 18
direct
0.176 0.824 0.500
0.824 0.176 0.000
0.042 0.319 0.707
0.319 0.042 0.207
0.492 0.645 0.255
0.645 0.492 0.755
0.684 0.873 0.109
0.873 0.684 0.609
0.106 0.487 0.698
0.140 0.283 0.290
0.178 0.886 0.003
0.274 0.654 0.249
0.283 0.140 0.790
0.487 0.106 0.198
0.501 0.510 0.558
0.503 0.911 0.356
0.510 0.501 0.058
0.513 0.739 0.894
0.654 0.274 0.749
0.705 0.851 0.718
0.739 0.513 0.394
0.818 0.976 0.111
0.851 0.705 0.218
0.886 0.178 0.503
0.911 0.503 0.856
0.976 0.818 0.611



Entry 3:
MgI2NO PBE relaxed; polymorph energy (0 for the lowest one) = 222 meV per atom; E_form (uncorrected) = 3.856 eV per formula unit
1.0
4.785 0.000 0.000
0.000 4.785 0.000
0.000 0.000 4.119
Mg I N O
1 2 1 1
direct
0.000 0.000 0.000
0.000 0.500 0.500
0.500 0.000 0.500
0.500 0.500 0.500
0.500 0.500 0.000



Entry 4:
SrPrGe2Pt5 PBE relaxed; ΔE_f = -0.723 eV per atom
1.0
4.492 0.000 0.000
0.000 4.492 0.000
0.000 0.000 8.745
Sr Pr Ge Pt
1 1 2 5
direct
0.000 0.000 0.000
0.000 0.000 0.500
0.500 0.500 0.352
0.500 0.500 0.648
0.000 0.500 0.235
0.000 0.500 0.765
0.500 0.000 0.235
0.500 0.000 0.765
0.500 0.500 0.000



Entry 5:
MgCu2Si PBE relaxed; E_form (uncorrected) = -0.097 eV per formula unit
1.0
2.907 0.000 0.000
0.000 4.078 0.000
0.000 0.000 5.004
Mg Cu Si
1 2 1
direct
0.000 0.000 0.000
0.500 0.500 0.247
0.500 0.500 0.753
0.500 0.000 0.500



Entry 6:
Li2PPdO4 PBE relaxed; E_form (uncorrected) = -13.862 eV per formula unit
1.0
-2.836 2.836 2.722
2.836 -2.836 2.722
2.836 2.836 -2.722
Li P Pd O
2 1 1 4
direct
0.000 0.000 0.000
0.750 0.250 0.500
0.250 0.750 0.500
0.500 0.500 0.000
0.216 0.742 0.809
0.258 0.067 0.474
0.592 0.784 0.526
0.933 0.408 0.191



Entry 7:
TaMnHRh2 PBE relaxed; polymorph energy (0 for the lowest one) = 90 meV per atom
1.0
3.892 0.000 0.000
0.000 3.892 0.000
0.000 0.000 4.020
Ta Mn H Rh
1 1 1 2
direct
0.000 0.000 0.000
0.500 0.500 0.000
0.000 0.000 0.500
0.000 0.500 0.500
0.500 0.000 0.500



Entry 8:
Ca2CrW PBE relaxed; polymorph energy (0 for the lowest one) = 556 meV per atom; ΔE_f = 1.047 eV per atom
1.0
4.185 0.000 0.000
0.000 4.185 0.000
0.000 0.000 4.980
Ca Cr W
2 1 1
direct
0.000 0.500 0.000
0.500 0.000 0.000
0.000 0.000 0.500
0.500 0.500 0.500



Entry 9:
MnCrAg2 PBE relaxed; polymorph energy (0 for the lowest one) = 0 meV per atom; ΔE_f = 0.250 eV per atom
1.0
3.029 0.000 0.000
0.000 3.029 0.000
0.000 0.000 6.903
Mn Cr Ag
1 1 2
direct
0.000 0.000 0.000
0.500 0.500 0.828
0.000 0.000 0.553
0.500 0.500 0.269



Entry 10:
LiPaCuHg PBE relaxed; ΔE_f = 0.133 eV per atom
1.0
0.000 3.348 3.348
3.348 0.000 3.348
3.348 3.348 0.000
Li Pa Cu Hg
1 1 1 1
direct
0.000 0.000 0.000
0.250 0.250 0.250
0.500 0.500 0.500
0.750 0.750 0.750



Entry 11:
Nb12Re5Ru3 PBE relaxed; ΔE_f = 1.035 eV per atom
1.0
-7.518 7.518 7.518
7.518 -7.518 7.518
7.518 7.518 -7.518
Nb Re Ru
48 20 12
direct
0.058 0.227 0.130
0.058 0.331 0.928
0.072 0.630 0.403
0.072 0.942 0.669
0.097 0.727 0.669
0.097 0.870 0.428
0.130 0.058 0.227
0.130 0.572 0.903
0.169 0.227 0.597
0.169 0.442 0.572
0.227 0.130 0.058
0.227 0.597 0.169
0.273 0.331 0.903
0.273 0.442 0.370
0.331 0.903 0.273
0.331 0.928 0.058
0.370 0.273 0.442
0.370 0.597 0.928
0.403 0.072 0.630
0.403 0.831 0.773
0.428 0.097 0.870
0.428 0.831 0.558
0.442 0.370 0.273
0.442 0.572 0.169
0.558 0.428 0.831
0.558 0.630 0.727
0.572 0.169 0.442
0.572 0.903 0.130
0.597 0.169 0.227
0.597 0.928 0.370
0.630 0.403 0.072
0.630 0.727 0.558
0.669 0.072 0.942
0.669 0.097 0.727
0.727 0.558 0.630
0.727 0.669 0.097
0.773 0.403 0.831
0.773 0.870 0.942
0.831 0.558 0.428
0.831 0.773 0.403
0.870 0.428 0.097
0.870 0.942 0.773
0.903 0.130 0.572
0.903 0.273 0.331
0.928 0.058 0.331
0.928 0.370 0.597
0.942 0.669 0.072
0.942 0.773 0.870
0.000 0.000 0.000
0.000 0.000 0.500
0.000 0.500 0.000
0.000 0.500 0.500
0.125 0.750 0.875
0.125 0.875 0.250
0.250 0.125 0.875
0.250 0.625 0.375
0.375 0.250 0.625
0.375 0.625 0.750
0.500 0.000 0.000
0.500 0.000 0.500
0.500 0.500 0.000
0.500 0.500 0.500
0.625 0.375 0.250
0.625 0.750 0.375
0.750 0.375 0.625
0.750 0.875 0.125
0.875 0.125 0.750
0.875 0.250 0.125
0.125 0.250 0.375
0.125 0.375 0.750
0.250 0.375 0.125
0.250 0.875 0.625
0.375 0.125 0.250
0.375 0.750 0.125
0.625 0.250 0.875
0.625 0.875 0.750
0.750 0.125 0.375
0.750 0.625 0.875
0.875 0.625 0.250
0.875 0.750 0.625



Entry 12:
UCoPt PBE relaxed; ΔE_f = 0.020 eV per atom
1.0
-1.635 1.635 9.779
1.635 -1.635 9.779
1.635 1.635 -9.779
U Co Pt
2 2 2
direct
0.201 0.201 0.000
0.799 0.799 0.000
0.358 0.358 0.000
0.642 0.642 0.000
0.068 0.068 0.000
0.932 0.932 0.000



Entry 13:
Co2SiCl PBE relaxed; polymorph energy (0 for the lowest one) = 598 meV per atom; E_form (uncorrected) = 1.880 eV per formula unit
1.0
-1.644 1.644 5.249
1.644 -1.644 5.249
1.644 1.644 -5.249
Co Si Cl
2 1 1
direct
0.000 0.000 0.000
0.750 0.250 0.500
0.250 0.750 0.500
0.500 0.500 0.000



Entry 14:
Tm6InGe2Se3 PBE relaxed; E_form (uncorrected) = -14.358 eV per formula unit
1.0
9.083 -2.042 0.000
9.083 2.042 0.000
-2.458 0.000 7.942
Tm In Ge Se
6 1 2 3
direct
0.001 0.001 0.236
0.328 0.328 0.412
0.328 0.328 0.933
0.672 0.672 0.067
0.672 0.672 0.588
0.999 0.999 0.764
0.500 0.500 0.500
0.163 0.163 0.822
0.837 0.837 0.178
0.167 0.167 0.326
0.500 0.500 0.000
0.833 0.833 0.674



Entry 15:
RbLi3Zn4F12 PBE relaxed; E_form (uncorrected) = -50.490 eV per formula unit
1.0
-3.894 3.894 3.894
3.894 -3.894 3.894
3.894 3.894 -3.894
Rb Li Zn F
1 3 4 12
direct
0.000 0.000 0.000
0.000 0.500 0.500
0.500 0.000 0.500
0.500 0.500 0.000
0.000 0.000 0.500
0.000 0.500 0.000
0.500 0.000 0.000
0.500 0.500 0.500
0.133 0.315 0.818
0.182 0.497 0.315
0.182 0.867 0.685
0.315 0.182 0.497
0.315 0.818 0.133
0.497 0.315 0.182
0.503 0.685 0.818
0.685 0.182 0.867
0.685 0.818 0.503
0.818 0.133 0.315
0.818 0.503 0.685
0.867 0.685 0.182



Entry 16:
ScCd14In PBE relaxed; ΔE_f = -0.027 eV per atom
1.0
6.512 0.000 0.000
0.000 6.512 0.000
0.000 0.000 8.596
Sc Cd In
1 14 1
direct
0.000 0.000 0.000
0.000 0.000 0.500
0.000 0.500 0.000
0.000 0.500 0.500
0.246 0.246 0.253
0.246 0.246 0.747
0.246 0.754 0.253
0.246 0.754 0.747
0.500 0.000 0.000
0.500 0.000 0.500
0.500 0.500 0.500
0.754 0.246 0.253
0.754 0.246 0.747
0.754 0.754 0.253
0.754 0.754 0.747
0.500 0.500 0.000



Entry 17:
KBa2La PBE relaxed; polymorph energy (0 for the lowest one) = 166 meV per atom; ΔE_f = 0.320 eV per atom
1.0
0.000 4.806 4.806
4.806 0.000 4.806
4.806 4.806 0.000
K Ba La
1 2 1
direct
0.000 0.000 0.000
0.250 0.250 0.250
0.750 0.750 0.750
0.500 0.500 0.500



Entry 18:
CeCu4Ni2 PBE relaxed; ΔE_f = -0.122 eV per atom
1.0
3.996 -3.155 0.000
3.996 3.155 0.000
-3.020 0.000 3.883
Ce Cu Ni
1 4 2
direct
0.000 0.000 0.000
0.000 0.388 0.694
0.000 0.612 0.306
0.388 0.000 0.694
0.612 0.000 0.306
0.500 0.500 0.250
0.500 0.500 0.750



Entry 19:
La4Tm5Cd PBE relaxed; ΔE_f = -0.033 eV per atom
1.0
3.681 0.000 0.000
0.000 3.681 0.000
0.000 0.000 23.516
La Tm Cd
4 5 1
direct
0.000 0.000 0.105
0.000 0.000 0.315
0.000 0.000 0.685
0.000 0.000 0.895
0.500 0.500 0.000
0.500 0.500 0.209
0.500 0.500 0.420
0.500 0.500 0.580
0.500 0.500 0.791
0.000 0.000 0.500



Entry 20:
NpTe4Rh PBE relaxed; E_form (uncorrected) = -2.273 eV per formula unit
1.0
8.545 0.000 0.000
0.000 6.239 0.000
-1.240 0.000 6.227
Np Te Rh
2 8 2
direct
0.000 0.000 0.000
0.000 0.500 0.500
0.182 0.051 0.500
0.182 0.449 0.000
0.399 0.619 0.604
0.399 0.881 0.104
0.601 0.119 0.896
0.601 0.381 0.396
0.818 0.551 0.000
0.818 0.949 0.500
0.500 0.000 0.500
0.500 0.500 0.000